# 1
Entry from Alexandria via LeMat-Bulk: a geometry-optimized ScTi2NbH structure (PBE).

Geometry as POSCAR:
```
ScTi2NbH
1.0
4.174 0.000 0.000
0.000 4.174 0.000
0.000 0.000 4.374
Sc H Nb Ti
1 1 1 2
Direct
0.000 0.000 0.500
0.000 0.000 0.000
0.500 0.500 0.500
0.000 0.500 0.000
0.500 0.000 0.000
```

Values from the calculation:
E above lowest polymorph = 0 kJ/mol of formula units
E = -7.14 eV per atom
SG = No. 123

=====

# 2
Entry from Alexandria via LeMat-Bulk: a geometry-optimized Sc2TiNbH structure (PBE).

Geometry as POSCAR:
```
Sc2TiNbH
1.0
4.316 0.000 0.000
0.000 4.316 0.000
0.000 0.000 4.385
Sc H Nb Ti
2 1 1 1
Direct
0.000 0.500 0.000
0.500 0.000 0.000
0.000 0.000 0.000
0.500 0.500 0.500
0.000 0.000 0.500
```

Values from the calculation:
E above lowest polymorph = 0 kJ/mol of formula units
E = -6.83 eV per atom
SG = No. 123

=====

# 3
Entry from Alexandria via LeMat-Bulk: a geometry-optimized ScTiNb2H structure (PBE).

Geometry as POSCAR:
```
ScTiNb2H
1.0
5.203 0.000 0.000
0.000 3.191 0.000
0.000 0.000 5.203
Sc H Nb Ti
1 1 2 1
Direct
0.000 0.000 0.000
0.000 0.500 0.000
0.000 0.000 0.500
0.500 0.000 0.000
0.500 0.500 0.500
```

Values from the calculation:
E above lowest polymorph = 463 kJ/mol of formula units
E = -6.56 eV per atom
SG = No. 123

=====

# 4
Entry from Alexandria via LeMat-Bulk: a geometry-optimized ScNb2TlH structure (PBE).

Geometry as POSCAR:
```
ScNb2TlH
1.0
4.161 0.000 0.000
0.000 4.161 0.000
0.000 0.000 4.709
Sc H Tl Nb
1 1 1 2
Direct
0.000 0.000 0.500
0.000 0.000 0.000
0.500 0.500 0.500
0.000 0.500 0.000
0.500 0.000 0.000
```

Values from the calculation:
E = -6.52 eV per atom
SG = No. 123

=====

# 5
Entry from Alexandria via LeMat-Bulk: a geometry-optimized ScNbV2H structure (PBE).

Geometry as POSCAR:
```
ScNbV2H
1.0
-1.322 -0.631 3.601
-0.599 -4.416 -0.994
3.620 -0.760 1.196
Sc H Nb V
1 1 1 2
Direct
0.000 0.500 0.000
0.000 0.000 0.000
0.500 0.500 0.500
0.000 0.000 0.500
0.500 0.000 0.000
```

Values from the calculation:
E = -7.43 eV per atom
SG = No. 123

=====

# 6
Entry from Alexandria via LeMat-Bulk: a geometry-optimized Sc2NbZnH structure (PBE).

Geometry as POSCAR:
```
Sc2NbZnH
1.0
4.369 0.000 0.000
0.000 4.369 0.000
0.000 0.000 4.137
Sc H Nb Zn
2 1 1 1
Direct
0.000 0.500 0.000
0.500 0.000 0.000
0.000 0.000 0.000
0.000 0.000 0.500
0.500 0.500 0.500
```

Values from the calculation:
E = -5.66 eV per atom
SG = No. 123

=====

# 7
Entry from Alexandria via LeMat-Bulk: a geometry-optimized ZrScNb2H structure (PBE).

Geometry as POSCAR:
```
ZrScNb2H
1.0
4.172 0.000 0.000
0.000 4.172 0.000
0.000 0.000 4.805
Sc H Nb Zr
1 1 2 1
Direct
0.000 0.000 0.500
0.000 0.000 0.000
0.000 0.500 0.000
0.500 0.000 0.000
0.500 0.500 0.500
```

Values from the calculation:
E = -7.67 eV per atom
SG = No. 123

=====

# 8
Entry from Alexandria via LeMat-Bulk: a geometry-optimized Nb2HSe4 structure (PBE).

Geometry as POSCAR:
```
Nb2HSe4
1.0
-1.946 1.935 6.869
-4.968 -5.569 0.188
7.162 -1.361 -1.608
Nb H Se
4 2 8
Direct
0.608 0.406 0.782
0.608 0.826 0.202
0.639 0.355 0.284
0.208 0.411 0.797
0.152 0.650 0.503
0.939 0.061 0.878
0.894 0.128 0.269
0.398 0.631 0.277
0.894 0.624 0.766
0.872 0.150 0.722
0.378 0.117 0.261
0.398 0.121 0.767
0.375 0.648 0.727
0.888 0.622 0.266
```

Values from the calculation:
E = -5.93 eV per atom
SG = No. 8

=====

# 9
Entry from Alexandria via LeMat-Bulk: a geometry-optimized NbHSe structure (PBE).

Geometry as POSCAR:
```
NbHSe
1.0
3.364 0.000 0.061
-0.009 5.437 0.491
-0.082 -2.223 4.577
H Nb Se
2 2 2
Direct
0.750 0.044 0.100
0.250 0.956 0.900
0.750 0.893 0.680
0.250 0.107 0.320
0.750 0.373 0.702
0.250 0.627 0.298
```

Values from the calculation:
E = -6.14 eV per atom
SG = No. 11

=====

# 10
Entry from Alexandria via LeMat-Bulk: a geometry-optimized Nb2HSe structure (PBE).

Geometry as POSCAR:
```
Nb2HSe
1.0
-1.515 -1.590 4.573
0.287 -4.813 -1.579
4.241 -3.415 3.031
H Nb Se
2 4 2
Direct
0.500 0.500 0.000
0.250 0.750 0.500
0.521 0.125 0.250
0.229 0.625 0.250
0.375 0.479 0.750
0.875 0.771 0.750
0.000 0.000 0.000
0.750 0.250 0.500
```

Values from the calculation:
E above lowest polymorph = 0 kJ/mol of formula units
E = -6.68 eV per atom
SG = No. 122

=====

# 11
Entry from Alexandria via LeMat-Bulk: a geometry-optimized NbH3Se structure (PBE).

Geometry as POSCAR:
```
NbH3Se
1.0
3.627 0.000 0.000
0.000 3.627 0.000
0.000 0.000 3.627
H Nb Se
3 1 1
Direct
0.000 0.500 0.000
0.000 0.000 0.500
0.500 0.000 0.000
0.500 0.500 0.500
0.000 0.000 0.000
```

Values from the calculation:
E above lowest polymorph = 355 kJ/mol of formula units
E = -3.68 eV per atom
SG = No. 221

=====

# 12
Entry from Alexandria via LeMat-Bulk: a geometry-optimized NbH3Se structure (PBE).

Geometry as POSCAR:
```
NbH3Se
1.0
3.700 0.000 0.000
0.000 3.700 0.000
0.000 0.000 3.700
H Nb Se
3 1 1
Direct
0.000 0.500 0.000
0.000 0.000 0.500
0.500 0.000 0.000
0.000 0.000 0.000
0.500 0.500 0.500
```

Values from the calculation:
E above lowest polymorph = 0 kJ/mol of formula units
E = -4.42 eV per atom
SG = No. 221